Record 1
CaPdSe: optimized geometry, PBE.

Unit cell a=6.330 b=7.016 c=5.940 alpha=90.00 beta=90.00 gamma=90.00
Sites, in units of the cell vectors:
Ca (0.644, 0.250, 0.869)
Ca (0.856, 0.750, 0.369)
Ca (0.356, 0.750, 0.131)
Ca (0.144, 0.250, 0.631)
Se (0.000, 0.000, 0.000)
Se (0.500, 0.500, 0.500)
Se (0.500, 0.000, 0.500)
Se (0.000, 0.500, 0.000)
Pd (0.282, 0.250, 0.171)
Pd (0.218, 0.750, 0.671)
Pd (0.718, 0.750, 0.829)
Pd (0.782, 0.250, 0.329)

Computed properties:
The value obtained for the energy relative to the lowest polymorph listed for this composition is 27.39 kJ per mole of atoms. For the formation energy (no corrections), the calculation gives -0.88 eV per atom. The total energy is -4.439 eV per atom. As for the density of states at the Fermi level: 2.67 states/eV/cell.

Record 2
KCo2Br: optimized geometry, PBE.

Unit cell a=4.685 b=4.685 c=9.553 alpha=75.80 beta=75.80 gamma=90.00
Sites, in units of the cell vectors:
K (0.500, 0.500, 0.000)
K (0.250, 0.750, 0.500)
Co (0.875, 0.125, 0.250)
Co (0.875, 0.625, 0.250)
Co (0.375, 0.125, 0.750)
Co (0.875, 0.125, 0.750)
Br (0.000, 0.000, 0.000)
Br (0.750, 0.250, 0.500)

Computed properties:
The value obtained for the energy relative to the lowest polymorph listed for this composition is 32.26 kJ per mole of atoms. For the formation energy (no corrections), the calculation gives 0.55 eV per atom. The total energy is -3.691 eV per atom. As for the density of states at the Fermi level: 10.39 states/eV/cell.

Record 3
TbPu: optimized geometry, PBE.

Unit cell a=3.201 b=3.574 c=8.822 alpha=90.00 beta=92.33 gamma=90.00
Sites, in units of the cell vectors:
Tb (0.257, 0.250, 0.655)
Tb (0.743, 0.750, 0.345)
Pu (0.855, 0.750, 0.934)
Pu (0.145, 0.250, 0.066)

Computed properties:
The calculation puts the formation energy at 0.22 eV/atom. The value obtained for the energy relative to the lowest polymorph listed for this composition is 2.03 kJ per mole of atoms. The total energy is -9.265 eV per atom. As for the density of states at the Fermi level: 6.64 states/eV/cell.

Record 4
KTi3W: optimized geometry, PBE.

Unit cell a=4.981 b=4.981 c=4.981 alpha=90.00 beta=90.00 gamma=90.00
Sites, in units of the cell vectors:
K (0.500, 0.500, 0.500)
W (0.000, 0.000, 0.000)
Ti (0.000, 0.500, 0.000)
Ti (0.000, 0.000, 0.500)
Ti (0.500, 0.000, 0.000)

Computed properties:
The calculation puts the formation energy at 1.01 eV/atom. The value obtained for the energy relative to the lowest polymorph listed for this composition is 0.00 kJ per mole of atoms. The total energy is -6.538 eV per atom. As for the density of states at the Fermi level: 7.57 states/eV/cell.

Record 5
NdCoNi: optimized geometry, PBE.

Unit cell a=5.274 b=5.334 c=4.705 alpha=90.00 beta=124.09 gamma=90.00
Sites, in units of the cell vectors:
Nd (0.345, 0.750, 0.691)
Nd (0.655, 0.250, 0.309)
Ni (0.266, 0.250, 0.533)
Ni (0.734, 0.750, 0.467)
Co (0.000, 0.000, 0.000)
Co (0.000, 0.500, 0.000)

Computed properties:
The calculation puts the formation energy at 0.09 eV/atom. The total energy is -5.793 eV per atom. As for the density of states at the Fermi level: 8.49 states/eV/cell.

Record 6
Ho3Sc3Cd: optimized geometry, PBE.

Unit cell a=5.266 b=9.031 c=9.033 alpha=119.99 beta=90.00 gamma=90.00
Sites, in units of the cell vectors:
Ho (0.250, 0.532, 0.634)
Ho (0.250, 0.103, 0.468)
Ho (0.250, 0.366, 0.897)
Ho (0.750, 0.468, 0.366)
Ho (0.750, 0.897, 0.532)
Ho (0.750, 0.634, 0.103)
Sc (0.750, 0.770, 0.827)
Sc (0.750, 0.057, 0.230)
Sc (0.750, 0.173, 0.943)
Sc (0.250, 0.230, 0.173)
Sc (0.250, 0.943, 0.770)
Sc (0.250, 0.827, 0.057)
Cd (0.750, 0.333, 0.667)
Cd (0.250, 0.667, 0.333)

Computed properties:
The calculation puts the formation energy at -0.04 eV/atom. The total energy is -4.842 eV per atom. As for the density of states at the Fermi level: 24.29 states/eV/cell.

Record 7
Hf7Co2Sn: optimized geometry, PBE.

Unit cell a=4.617 b=7.381 c=7.381 alpha=113.52 beta=90.00 gamma=90.00
Sites, in units of the cell vectors:
Hf (0.000, 0.725, 0.275)
Hf (0.000, 0.275, 0.725)
Hf (0.500, 0.063, 0.322)
Hf (0.500, 0.937, 0.678)
Hf (0.500, 0.322, 0.063)
Hf (0.500, 0.678, 0.937)
Hf (0.500, 0.500, 0.500)
Co (0.500, 0.702, 0.298)
Co (0.500, 0.298, 0.702)
Sn (0.000, 0.000, 0.000)

Computed properties:
The calculation puts the formation energy at 0.19 eV/atom. The total energy is -8.596 eV per atom. As for the density of states at the Fermi level: 15.06 states/eV/cell.

Record 8
LiInPt2: optimized geometry, PBE.

Unit cell a=4.712 b=4.712 c=2.975 alpha=89.97 beta=89.97 gamma=103.29
Sites, in units of the cell vectors:
Li (0.000, 0.500, 0.500)
Pt (0.000, 0.000, 0.000)
Pt (0.500, 0.500, 0.000)
In (0.500, 0.000, 0.500)

Computed properties:
The calculation puts the formation energy at -0.57 eV/atom. The total energy is -4.750 eV per atom. As for the density of states at the Fermi level: 0.52 states/eV/cell.

Record 9
Dy3Er4Zn: optimized geometry, PBE.

Unit cell a=3.522 b=3.522 c=18.594 alpha=90.00 beta=90.00 gamma=90.00
Sites, in units of the cell vectors:
Zn (0.500, 0.500, 0.000)
Er (0.000, 0.000, 0.905)
Er (0.000, 0.000, 0.095)
Er (0.000, 0.000, 0.365)
Er (0.000, 0.000, 0.635)
Dy (0.500, 0.500, 0.232)
Dy (0.500, 0.500, 0.500)
Dy (0.500, 0.500, 0.768)

Computed properties:
The calculation puts the formation energy at -0.07 eV/atom. The total energy is -4.238 eV per atom. As for the density of states at the Fermi level: 9.77 states/eV/cell.

Record 10
Cs2RbPtCl6: optimized geometry, PBE.

Unit cell a=7.952 b=7.952 c=7.828 alpha=59.48 beta=59.48 gamma=90.00
Sites, in units of the cell vectors:
Cs (0.750, 0.250, 0.500)
Cs (0.250, 0.750, 0.500)
Rb (0.500, 0.500, 0.000)
Pt (0.000, 0.000, 0.000)
Cl (0.214, 0.214, 0.573)
Cl (0.786, 0.786, 0.427)
Cl (0.222, 0.222, 0.000)
Cl (0.778, 0.778, 0.000)
Cl (0.778, 0.222, 0.000)
Cl (0.222, 0.778, 0.000)

Computed properties:
For the formation energy (no corrections), the calculation gives -1.33 eV per atom. The total energy is -3.313 eV per atom. As for the density of states at the Fermi level: 0.46 states/eV/cell.

Record 11
Pr4Sb2TeSe: optimized geometry, PBE.

Unit cell a=4.497 b=7.742 c=7.799 alpha=70.39 beta=90.00 gamma=90.00
Sites, in units of the cell vectors:
Pr (0.000, 0.752, 0.741)
Pr (0.000, 0.248, 0.259)
Pr (0.500, 0.747, 0.259)
Pr (0.500, 0.253, 0.741)
Sb (0.000, 0.000, 0.000)
Sb (0.500, 0.000, 0.500)
Te (0.500, 0.500, 0.000)
Se (0.000, 0.500, 0.500)

Computed properties:
For the formation energy (no corrections), the calculation gives -1.43 eV per atom. The total energy is -5.679 eV per atom. As for the density of states at the Fermi level: 3.90 states/eV/cell.

Record 12
HoEr2TlC: optimized geometry, PBE.

Unit cell a=4.892 b=4.868 c=4.868 alpha=90.00 beta=90.00 gamma=90.00
Sites, in units of the cell vectors:
Ho (0.500, 0.000, 0.000)
Er (0.000, 0.000, 0.500)
Er (0.000, 0.500, 0.000)
Tl (0.500, 0.500, 0.500)
C (0.000, 0.000, 0.000)

Computed properties:
The calculation puts the formation energy at -0.49 eV/atom. The total energy is -5.544 eV per atom. As for the density of states at the Fermi level: 0.83 states/eV/cell.

Record 13
Pr2Y4Th3: optimized geometry, PBE.

Unit cell a=3.595 b=3.595 c=26.873 alpha=90.00 beta=90.00 gamma=120.00
Sites, in units of the cell vectors:
Pr (0.667, 0.333, 0.092)
Pr (0.667, 0.333, 0.871)
Y (0.000, 0.000, 0.542)
Y (0.667, 0.333, 0.435)
Y (0.667, 0.333, 0.220)
Y (0.000, 0.000, 0.758)
Th (0.000, 0.000, 0.983)
Th (0.000, 0.000, 0.325)
Th (0.667, 0.333, 0.651)

Computed properties:
The calculation puts the formation energy at 0.08 eV/atom. The total energy is -6.327 eV per atom. As for the density of states at the Fermi level: 18.35 states/eV/cell.

Record 14
AcHgSO5: optimized geometry, PBE.

Unit cell a=6.446 b=6.446 c=9.008 alpha=108.70 beta=108.70 gamma=101.54
Sites, in units of the cell vectors:
Ac (0.000, 0.000, 0.500)
Ac (0.000, 0.000, 0.000)
Hg (0.310, 0.690, 0.250)
Hg (0.690, 0.310, 0.750)
S (0.684, 0.316, 0.250)
S (0.316, 0.684, 0.750)
O (0.089, 0.911, 0.250)
O (0.911, 0.089, 0.750)
O (0.831, 0.289, 0.150)
O (0.169, 0.711, 0.850)
O (0.711, 0.169, 0.350)
O (0.289, 0.831, 0.650)
O (0.760, 0.564, 0.370)
O (0.240, 0.436, 0.630)
O (0.436, 0.240, 0.130)
O (0.564, 0.760, 0.870)

Computed properties:
For the formation energy (no corrections), the calculation gives -1.77 eV per atom. The total energy is -5.934 eV per atom. As for the density of states at the Fermi level: 2.76 states/eV/cell.

Record 15
Li2MgZnF: optimized geometry, PBE.

Unit cell a=5.022 b=4.393 c=5.022 alpha=90.00 beta=90.00 gamma=90.00
Sites, in units of the cell vectors:
Zn (0.000, 0.000, 0.000)
Li (0.000, 0.000, 0.500)
Li (0.500, 0.000, 0.000)
Mg (0.500, 0.500, 0.500)
F (0.000, 0.500, 0.000)

Computed properties:
For the formation energy (no corrections), the calculation gives -0.28 eV per atom. The total energy is -1.994 eV per atom. As for the density of states at the Fermi level: 2.55 states/eV/cell.

Record 16
CuSbPb2O6: optimized geometry, PBE.

Unit cell a=4.904 b=5.416 c=10.705 alpha=90.00 beta=97.21 gamma=90.00
Sites, in units of the cell vectors:
Cu (0.500, 0.000, 0.000)
Cu (0.000, 0.500, 0.500)
Sb (0.500, 0.000, 0.500)
Sb (0.000, 0.500, 0.000)
Pb (0.023, 0.999, 0.243)
Pb (0.523, 0.501, 0.743)
Pb (0.977, 0.001, 0.757)
Pb (0.477, 0.499, 0.257)
O (0.287, 0.758, 0.069)
O (0.787, 0.742, 0.569)
O (0.713, 0.242, 0.931)
O (0.213, 0.258, 0.431)
O (0.214, 0.741, 0.431)
O (0.714, 0.759, 0.931)
O (0.786, 0.259, 0.569)
O (0.286, 0.241, 0.069)
O (0.925, 0.500, 0.178)
O (0.425, 0.000, 0.678)
O (0.075, 0.500, 0.822)
O (0.575, 0.000, 0.322)

Computed properties:
For the formation energy (no corrections), the calculation gives -1.05 eV per atom. The total energy is -5.585 eV per atom. As for the density of states at the Fermi level: 0.71 states/eV/cell.

Record 17
KY2TcO8: optimized geometry, PBE.

Unit cell a=4.895 b=4.583 c=7.644 alpha=81.27 beta=87.19 gamma=94.55
Sites, in units of the cell vectors:
K (0.000, 0.000, 0.500)
Y (0.481, 0.411, 0.788)
Y (0.519, 0.589, 0.212)
Tc (0.000, 0.000, 0.000)
O (0.086, 0.738, 0.207)
O (0.755, 0.696, 0.943)
O (0.709, 0.106, 0.148)
O (0.914, 0.262, 0.793)
O (0.245, 0.304, 0.057)
O (0.291, 0.894, 0.852)
O (0.506, 0.664, 0.507)
O (0.494, 0.336, 0.493)

Computed properties:
For the formation energy (no corrections), the calculation gives -2.07 eV per atom. The total energy is -7.413 eV per atom.

Record 18
AsSF2: optimized geometry, PBE.

Unit cell a=5.497 b=5.822 c=10.274 alpha=90.05 beta=90.00 gamma=90.00
Sites, in units of the cell vectors:
As (0.000, 0.250, 0.628)
As (0.000, 0.750, 0.372)
As (0.500, 0.250, 0.872)
As (0.500, 0.750, 0.128)
S (0.250, 0.532, 0.250)
S (0.750, 0.468, 0.750)
S (0.750, 0.968, 0.250)
S (0.250, 0.032, 0.750)
F (0.700, 0.995, 0.905)
F (0.300, 0.005, 0.095)
F (0.200, 0.505, 0.595)
F (0.800, 0.495, 0.405)
F (0.700, 0.494, 0.095)
F (0.300, 0.506, 0.905)
F (0.200, 0.006, 0.405)
F (0.800, 0.994, 0.595)

Computed properties:
The value obtained for the energy relative to the lowest polymorph listed for this composition is 0.00 kJ per mole of atoms. For the formation energy (no corrections), the calculation gives -1.07 eV per atom. The total energy is -4.198 eV per atom. As for the density of states at the Fermi level: 4.39 states/eV/cell.

Record 19
TmNbRuRh: optimized geometry, PBE.

Unit cell a=4.623 b=4.623 c=4.623 alpha=60.00 beta=60.00 gamma=60.00
Sites, in units of the cell vectors:
Ru (0.750, 0.750, 0.750)
Nb (0.500, 0.500, 0.500)
Tm (0.000, 0.000, 0.000)
Rh (0.250, 0.250, 0.250)

Computed properties:
The calculation puts the formation energy at -0.45 eV/atom. The total energy is -8.241 eV per atom. As for the density of states at the Fermi level: 3.18 states/eV/cell.

Record 20
Tm2TlSi: optimized geometry, PBE.

Unit cell a=3.821 b=3.821 c=8.590 alpha=77.15 beta=77.15 gamma=60.00
Sites, in units of the cell vectors:
Tl (0.500, 0.500, 0.500)
Tm (0.737, 0.737, 0.790)
Tm (0.263, 0.263, 0.210)
Si (0.000, 0.000, 0.000)

Computed properties:
For the formation energy (no corrections), the calculation gives -0.37 eV per atom. The total energy is -4.553 eV per atom. As for the density of states at the Fermi level: 3.74 states/eV/cell.

Record 21
TlVAgCl6: optimized geometry, PBE.

Unit cell a=6.796 b=6.795 c=6.599 alpha=89.99 beta=89.99 gamma=60.00
Sites, in units of the cell vectors:
Tl (0.000, 0.000, 0.000)
V (0.333, 0.333, 0.500)
Ag (0.667, 0.667, 0.500)
Cl (0.044, 0.352, 0.295)
Cl (0.352, 0.044, 0.705)
Cl (0.604, 0.352, 0.705)
Cl (0.044, 0.604, 0.705)
Cl (0.352, 0.604, 0.295)
Cl (0.604, 0.044, 0.295)

Computed properties:
For the formation energy (no corrections), the calculation gives -0.94 eV per atom. The total energy is -3.762 eV per atom. As for the density of states at the Fermi level: 6.17 states/eV/cell.

Record 22
KCrAu2: optimized geometry, PBE.

Unit cell a=3.585 b=3.585 c=7.578 alpha=90.00 beta=90.00 gamma=90.00
Sites, in units of the cell vectors:
Au (0.000, 0.000, 0.054)
Au (0.500, 0.500, 0.270)
Cr (0.000, 0.000, 0.410)
K (0.500, 0.500, 0.765)

Computed properties:
The calculation puts the formation energy at 0.29 eV/atom. The value obtained for the energy relative to the lowest polymorph listed for this composition is 22.91 kJ per mole of atoms. The total energy is -4.027 eV per atom. As for the density of states at the Fermi level: 2.01 states/eV/cell.

Record 23
Ba2PaSb3O12: optimized geometry, PBE.

Unit cell a=7.606 b=7.606 c=7.606 alpha=57.90 beta=57.90 gamma=57.90
Sites, in units of the cell vectors:
Ba (0.604, 0.604, 0.604)
Ba (0.396, 0.396, 0.396)
Pa (0.000, 0.000, 0.000)
Sb (0.500, 0.000, 0.000)
Sb (0.000, 0.500, 0.000)
Sb (0.000, 0.000, 0.500)
O (0.321, 0.321, 0.905)
O (0.919, 0.919, 0.348)
O (0.348, 0.919, 0.919)
O (0.905, 0.321, 0.321)
O (0.919, 0.348, 0.919)
O (0.321, 0.905, 0.321)
O (0.679, 0.679, 0.095)
O (0.081, 0.081, 0.652)
O (0.652, 0.081, 0.081)
O (0.095, 0.679, 0.679)
O (0.081, 0.652, 0.081)
O (0.679, 0.095, 0.679)

Computed properties:
For the formation energy (no corrections), the calculation gives -2.18 eV per atom. The total energy is -6.914 eV per atom. As for the density of states at the Fermi level: 0.00 states/eV/cell.